Record 1
DFT (PBE-GGA) results for a relaxed structure of LaSm4Dy3. Values from VASP.

The structure in Quantum ESPRESSO input format:
```
&SYSTEM
  ibrav = 0, nat = 16, ntyp = 3
/
ATOMIC_SPECIES
La 138.91 La.upf
Sm 150.36 Sm.upf
Dy 162.50 Dy.upf
CELL_PARAMETERS angstrom
6.347 0.000 0.000
0.000 7.351 0.000
0.000 0.000 11.583
ATOMIC_POSITIONS angstrom
La 0.920 2.754 0.000
La 4.094 4.596 5.792
Sm 0.924 6.417 0.000
Sm 4.131 0.920 0.000
Sm 6.233 0.920 2.933
Sm 3.059 6.430 2.859
Sm 0.958 6.430 5.792
Sm 4.097 0.933 5.792
Sm 3.059 6.430 8.725
Sm 6.233 0.920 8.650
Dy 4.113 4.596 0.000
Dy 6.225 4.586 2.903
Dy 3.052 2.764 2.889
Dy 0.940 2.755 5.792
Dy 3.052 2.764 8.695
Dy 6.225 4.586 8.680
```

Values from the calculation:
- Energy above the most stable polymorph in this dataset: 0.00 eV per formula unit
- E_form: 29 meV/atom
- N(E_F): 1.76 states/eV per atom
- Symmetry: Pmn2_1 (31)

---

Record 2
DFT (PBE-GGA) results for a relaxed structure of Nd4Dy3Te8. Values from VASP.

The structure in Quantum ESPRESSO input format:
```
&SYSTEM
  ibrav = 0, nat = 15, ntyp = 3
/
ATOMIC_SPECIES
Nd 144.24 Nd.upf
Dy 162.50 Dy.upf
Te 127.60 Te.upf
CELL_PARAMETERS angstrom
-2.557 3.131 7.847
-5.058 -5.830 -4.293
6.842 -5.559 -0.523
ATOMIC_POSITIONS angstrom
Nd -1.279 1.566 3.924
Nd -2.529 -2.915 -2.146
Nd 0.000 0.000 0.000
Nd 3.421 -2.780 -0.261
Dy -3.808 -1.349 1.777
Dy 2.143 -1.214 3.662
Dy -0.387 -4.129 1.516
Te -0.855 -1.369 2.796
Te -1.980 -5.760 -3.318
Te 0.448 -2.964 -1.203
Te -3.316 -4.195 0.588
Te 2.543 -4.062 2.444
Te -1.221 -5.294 4.235
Te 1.207 -2.498 6.350
Te 0.082 -6.888 0.236
```

Values from the calculation:
- N(E_F): 0.47 states/eV per atom
- Symmetry: C2/m (12)
- Formation energy from raw total energies: -1410 meV per atom

---

Record 3
DFT (PBE-GGA) results for a relaxed structure of ZrTaP. Values from VASP.

The structure in Quantum ESPRESSO input format:
```
&SYSTEM
  ibrav = 0, nat = 3, ntyp = 3
/
ATOMIC_SPECIES
Zr 91.22 Zr.upf
Ta 180.95 Ta.upf
P 30.97 P.upf
CELL_PARAMETERS angstrom
0.000 3.046 3.046
3.046 0.000 3.046
3.046 3.046 0.000
ATOMIC_POSITIONS angstrom
Zr 3.046 3.046 3.046
Ta 0.000 0.000 0.000
P 4.569 4.569 4.569
```

Values from the calculation:
- E_form: -396 meV/atom
- N(E_F): 0.63 states/eV per atom
- Symmetry: F-43m (216)

---

Record 4
DFT (PBE-GGA) results for a relaxed structure of YHoInCo. Values from VASP.

The structure in Quantum ESPRESSO input format:
```
&SYSTEM
  ibrav = 0, nat = 4, ntyp = 4
/
ATOMIC_SPECIES
Y 88.91 Y.upf
Co 58.93 Co.upf
Ho 164.93 Ho.upf
In 114.82 In.upf
CELL_PARAMETERS angstrom
-0.011 4.485 -2.387
-3.041 3.733 1.621
1.986 4.090 2.268
ATOMIC_POSITIONS angstrom
Y -0.533 6.154 0.751
Co -0.800 9.231 1.127
Ho 0.000 0.000 0.000
In -0.267 3.077 0.376
```

Values from the calculation:
- E_form: -211 meV/atom
- N(E_F): 0.53 states/eV per atom
- Symmetry: F-43m (216)

---

Record 5
DFT (PBE-GGA) results for a relaxed structure of LiTl12Sn7. Values from VASP.

The structure in Quantum ESPRESSO input format:
```
&SYSTEM
  ibrav = 0, nat = 20, ntyp = 3
/
ATOMIC_SPECIES
Li 6.94 Li.upf
Tl 204.38 Tl.upf
Sn 118.71 Sn.upf
CELL_PARAMETERS angstrom
8.430 0.044 -2.009
-2.553 8.034 -2.009
0.032 0.044 8.666
ATOMIC_POSITIONS angstrom
Li 0.000 0.000 0.000
Tl 5.831 1.970 2.320
Tl 3.635 1.967 5.117
Tl 6.068 5.425 2.601
Tl 2.605 0.678 2.059
Tl 5.151 4.063 -0.473
Tl 1.964 2.688 -0.637
Tl 3.944 5.434 5.286
Tl 0.758 4.058 5.122
Tl 3.303 7.443 2.589
Tl -0.160 2.696 2.048
Tl 2.274 6.155 -0.469
Tl 0.077 6.151 2.328
Sn 0.281 7.451 5.525
Sn -1.109 5.561 -0.857
Sn 0.492 0.656 5.676
Sn 2.954 4.061 2.324
Sn 5.416 7.465 -1.027
Sn 7.018 2.561 5.506
Sn 5.627 0.670 -0.876
```

Values from the calculation:
- E_form: 7 meV/atom
- N(E_F): 0.47 states/eV per atom
- Symmetry: R-3 (148)

---

Record 6
DFT (PBE-GGA) results for a relaxed structure of La2Nd5Dy3. Values from VASP.

The structure in Quantum ESPRESSO input format:
```
&SYSTEM
  ibrav = 0, nat = 20, ntyp = 3
/
ATOMIC_SPECIES
La 138.91 La.upf
Nd 144.24 Nd.upf
Dy 162.50 Dy.upf
CELL_PARAMETERS angstrom
0.813 -4.650 -8.545
-2.059 -9.522 1.006
-6.937 8.560 2.248
ATOMIC_POSITIONS angstrom
La -4.630 2.581 -4.987
La -3.553 -8.192 -0.304
La -6.344 -2.686 -1.576
La -1.839 -2.925 -3.715
Nd -1.311 -5.829 -1.731
Nd -6.872 0.217 -3.560
Nd -5.342 -2.797 1.812
Nd -3.853 -0.371 -2.953
Nd -2.842 -2.814 -7.104
Nd -4.330 -5.240 -2.339
Nd -5.858 -3.387 -5.135
Nd -2.325 -2.224 -0.157
Nd -5.290 3.316 -1.464
Nd -2.893 -8.927 -3.828
Dy -8.457 -2.189 1.185
Dy 0.274 -3.422 -6.476
Dy -2.049 -5.751 -5.246
Dy -6.134 0.139 -0.045
Dy -3.282 -5.379 1.239
Dy -4.902 -0.233 -6.530
```

Values from the calculation:
- E_form: 178 meV/atom
- N(E_F): 1.72 states/eV per atom
- Symmetry: C2/c (15)